Below is a crystal of Tl2InPb relaxed with PBEsol, with properties calculated at the meta-GGA SCAN level. Values from VASP.

Structure (Quantum ESPRESSO input):
```
&SYSTEM
  ibrav = 0, nat = 4, ntyp = 3
/
ATOMIC_SPECIES
Pb 207.20 Pb.upf
Tl 204.38 Tl.upf
In 114.82 In.upf
ATOMIC_POSITIONS crystal
Pb 0.0000 0.5000 0.5000
Tl 0.0000 0.0000 0.0000
Tl 0.5000 0.5000 0.0000
In 0.5000 0.0000 0.5000
CELL_PARAMETERS angstrom
3.7023 0.0000 0.0000
0.0000 5.4583 0.0000
0.0000 0.0000 5.5425
```

Total magnetic moment in μB per cell: 0.0
Energy above the lowest structure with this stoichiometry in meV/atom: 27
Crystal system: orthorhombic

---

Below is a crystal of TlInPb2 relaxed with PBEsol, with properties calculated at the meta-GGA SCAN level. Values from VASP.

Structure (Quantum ESPRESSO input):
```
&SYSTEM
  ibrav = 0, nat = 4, ntyp = 3
/
ATOMIC_SPECIES
Pb 207.20 Pb.upf
Tl 204.38 Tl.upf
In 114.82 In.upf
ATOMIC_POSITIONS crystal
Pb 0.0000 0.0000 0.0046
Pb 0.5000 0.5000 0.7499
Tl 0.0000 0.0000 0.4942
In 0.5000 0.5000 0.2514
CELL_PARAMETERS angstrom
-0.0270 2.3431 -2.3316
1.2475 -2.8578 -1.0974
-10.2785 -3.2705 -3.1674
```

Total magnetic moment in μB per cell: 0.0
Energy above the lowest structure with this stoichiometry in meV/atom: 31
Crystal system: orthorhombic